# Cs2Sn2O3

Cs2Sn2O3 after structural relaxation (GGA-PBEsol, Alexandria).

The structure belongs to space group Pnma (No. 62); the cell edges are 13.687, 6.109 and 8.869 Å and the angles 90.00°, 90.00° and 90.00°. Symmetry generates all atoms from Cs at (0.094, 0.250, 0.157), Cs at (0.132, 0.750, 0.461), Sn at (0.134, 0.250, 0.713), Sn at (0.199, 0.750, 0.910), O at (0.157, 0.250, 0.483) and O at (0.230, 0.503, 0.756).

For the density, the calculation gives 4.94 g cm⁻³. For the total energy, the calculation gives -5.18 eV/atom. Its uncorrected formation energy is -1446 meV/atom. As for the total magnetization: 0.00 μB/f.u.